A plane-wave DFT calculation with PBE-GGA was carried out for a relaxed structure of PPtAuO2.

```
PPtAuO2
1.0
3.737 0.000 0.000
0.000 3.737 0.000
0.000 0.000 6.914
P Pt Au O
1 1 1 2
direct
0.000 0.000 0.000
0.500 0.500 0.000
0.000 0.000 0.500
0.000 0.500 0.500
0.500 0.000 0.500
```

Uncorrected energy   -4.15 eV/atom
Formation energy from raw total energies   0.780 eV per atom
Offset from the most stable computed form   559 meV/atom